19
Lattice="4.8803 2.8176 3.8998 -4.8803 2.8176 3.8998 0.0000 -5.6352 3.8998" Properties=species:S:1:pos:R:3 comment="AgPd12Au6 PBE relaxed" dos_ef_per_ev_fu=30.5 e_tot_ev_per_atom=-4.386 vol_a3_per_cell=322 pbc="T T T"
Ag 0.0000 0.0000 0.0000
Pd -1.6012 0.3354 2.2434
Pd 0.5102 -1.5544 2.2434
Pd -1.7157 -0.5343 4.7982
Pd 1.0911 1.2190 2.2434
Pd -0.3952 -1.7530 6.9012
Pd 1.3205 -1.2187 4.7982
Pd -1.3205 1.2187 6.9012
Pd 0.3952 1.7530 4.7982
Pd -1.0911 -1.2190 9.4559
Pd 1.7157 0.5343 6.9012
Pd -0.5102 1.5544 9.4559
Pd 1.6012 -0.3354 9.4559
Au -0.7535 -3.0208 4.3856
Au -2.9928 -0.8578 7.3138
Au -2.2393 2.1629 4.3856
Au 2.2393 -2.1629 7.3138
Au 2.9928 0.8579 4.3856
Au 0.7535 3.0208 7.3138